1.
Tb2Ce3YP6 | the Alexandria database | PBE | optimized geometry; energy of formation = -1.56 eV/atom; density of states at the Fermi level = 1.15 states/eV/atom; raw total energy = -7.06 eV/atom; space group = No. 12
1.0
7.027 -0.001 0.000
-3.513 6.086 0.000
-1.172 -2.029 6.609
P Ce Y Tb
6 3 1 2
direct
0.083 0.416 0.248 P
0.416 0.083 0.248 P
0.750 0.750 0.248 P
0.584 0.917 0.752 P
0.917 0.584 0.752 P
0.250 0.250 0.752 P
0.167 0.833 0.500 Ce
0.833 0.167 0.500 Ce
0.500 0.500 0.500 Ce
0.000 0.000 0.000 Y
0.667 0.333 0.000 Tb
0.333 0.667 0.000 Tb

=====

2.
CoCu3S | the Alexandria database | PBE | optimized geometry; density of states at the Fermi level = 0.68 states/eV/atom; raw total energy = -4.00 eV/atom; space group = No. 221; energy relative to the elements, uncorrected = 68.4 kJ per mole of atoms
1.0
-2.946 -2.923 0.989
1.692 -2.674 -2.861
2.580 -1.584 3.006
Cu Co S
3 1 1
direct
0.500 0.000 0.000 Cu
0.000 0.000 0.500 Cu
0.000 0.500 0.000 Cu
0.500 0.500 0.500 Co
0.000 0.000 0.000 S

=====

3.
Ca2TcO6 | the Alexandria database | PBE | optimized geometry; density of states at the Fermi level = 0.14 states/eV/atom; raw total energy = -6.80 eV/atom; space group = No. 14; energy relative to the elements, uncorrected = -182.7 kJ per mole of atoms
1.0
-0.146 -3.348 4.458
7.692 -2.140 -0.116
1.335 4.607 3.503
O Tc Ca
12 2 4
direct
0.872 0.399 0.743 O
0.728 0.451 0.166 O
0.272 0.549 0.834 O
0.666 0.790 0.414 O
0.334 0.210 0.586 O
0.228 0.951 0.334 O
0.372 0.899 0.757 O
0.166 0.290 0.086 O
0.628 0.101 0.243 O
0.772 0.049 0.666 O
0.128 0.601 0.257 O
0.834 0.710 0.914 O
0.000 0.500 0.000 Tc
0.500 0.000 0.500 Tc
0.046 0.771 0.588 Ca
0.954 0.229 0.412 Ca
0.454 0.729 0.088 Ca
0.546 0.271 0.912 Ca

=====

4.
Na2Dy2PbO6 | the Alexandria database | PBE | optimized geometry; density of states at the Fermi level = 0.00 states/eV/atom; raw total energy = -6.36 eV/atom; space group = No. 12; energy relative to the elements, uncorrected = -216.4 kJ per mole of atoms
1.0
5.938 -0.042 0.119
-2.971 5.142 0.119
-0.999 -1.717 5.596
O Dy Pb Na
6 2 1 2
direct
0.251 0.251 0.297 O
0.950 0.610 0.297 O
0.050 0.390 0.703 O
0.749 0.749 0.703 O
0.390 0.050 0.703 O
0.610 0.950 0.297 O
0.665 0.335 0.500 Dy
0.335 0.665 0.500 Dy
0.000 0.000 0.500 Pb
0.838 0.162 0.000 Na
0.162 0.838 0.000 Na

=====

5.
Pm3Nd3Ho8 | the Alexandria database | PBE | optimized geometry; energy of formation = 0.11 eV/atom; density of states at the Fermi level = 1.57 states/eV/atom; raw total energy = -4.54 eV/atom; space group = No. 71
1.0
-3.557 -2.582 -3.601
-3.907 -7.542 4.775
-7.623 5.945 -1.223
Pm Nd Ho
3 3 8
direct
0.000 0.187 0.813 Pm
0.500 0.000 0.000 Pm
0.000 0.813 0.187 Pm
0.804 0.197 0.197 Nd
0.500 0.500 0.500 Nd
0.196 0.803 0.803 Nd
0.160 0.443 0.237 Ho
0.661 0.559 0.118 Ho
0.661 0.118 0.559 Ho
0.339 0.882 0.441 Ho
0.840 0.763 0.557 Ho
0.339 0.441 0.882 Ho
0.840 0.557 0.763 Ho
0.160 0.237 0.443 Ho

=====

6.
Tl2AuCl | the Alexandria database | PBE | optimized geometry; density of states at the Fermi level = 0.10 states/eV/atom; raw total energy = -2.87 eV/atom; space group = No. 12; energy relative to the elements, uncorrected = -39.4 kJ per mole of atoms
1.0
-3.973 -0.211 -2.217
-2.530 -3.783 0.166
-5.408 1.121 4.955
Cl Au Tl
1 1 2
direct
0.250 0.250 0.250 Cl
0.750 0.750 0.750 Au
0.004 0.004 0.985 Tl
0.496 0.496 0.515 Tl

=====

7.
GeIr3Pb | the Alexandria database | PBE | optimized geometry; energy of formation = 0.90 eV/atom; density of states at the Fermi level = 1.47 states/eV/atom; raw total energy = -6.08 eV/atom; space group = No. 221
1.0
-4.422 0.779 -1.253
0.821 -1.990 -4.135
-1.226 -4.143 1.751
Ge Pb Ir
1 1 3
direct
0.000 0.000 0.000 Ge
0.500 0.500 0.500 Pb
0.000 0.500 0.000 Ir
0.500 0.000 0.000 Ir
0.000 0.000 0.500 Ir

=====

8.
SmEuPb4 | the Alexandria database | PBE | optimized geometry; energy of formation = -0.24 eV/atom; density of states at the Fermi level = 0.73 states/eV/atom; raw total energy = -5.21 eV/atom; space group = No. 216
1.0
-6.258 1.101 -1.359
-4.416 -0.044 4.766
-2.806 5.551 1.881
Pb Sm Eu
4 1 1
direct
0.625 0.625 0.126 Pb
0.625 0.126 0.625 Pb
0.126 0.625 0.625 Pb
0.625 0.625 0.625 Pb
0.250 0.250 0.250 Sm
0.000 0.000 0.000 Eu

=====

9.
TlBiI2 | the Alexandria database | PBE | optimized geometry; density of states at the Fermi level = 0.01 states/eV/atom; raw total energy = -2.43 eV/atom; space group = No. 122; energy relative to the elements, uncorrected = -9.1 kJ per mole of atoms
1.0
6.165 0.000 0.000
0.000 6.165 0.000
3.082 3.082 10.053
I Bi Tl
4 2 2
direct
0.875 0.917 0.750 I
0.667 0.125 0.250 I
0.083 0.625 0.250 I
0.375 0.333 0.750 I
0.000 0.000 0.000 Bi
0.750 0.250 0.500 Bi
0.500 0.500 0.000 Tl
0.250 0.750 0.500 Tl

=====

10.
InGeS3 | the Alexandria database | PBE | optimized geometry; density of states at the Fermi level = 0.73 states/eV/atom; raw total energy = -3.83 eV/atom; space group = No. 221; energy relative to the elements, uncorrected = 11.7 kJ per mole of atoms
1.0
-1.531 3.716 -2.561
-4.504 -1.085 1.117
0.288 2.779 3.860
Ge S In
1 3 1
direct
0.000 0.000 0.000 Ge
0.000 0.000 0.500 S
0.500 0.000 0.000 S
0.000 0.500 0.000 S
0.500 0.500 0.500 In

=====

11.
Rb3Sc2F9 | the Alexandria database | PBE | optimized geometry; density of states at the Fermi level = 0.00 states/eV/atom; raw total energy = -5.80 eV/atom; space group = No. 167; energy relative to the elements, uncorrected = -336.1 kJ per mole of atoms
1.0
7.938 -0.098 0.604
0.552 7.919 0.604
-0.106 -0.098 7.960
Rb F Sc
6 18 4
direct
0.250 0.911 0.589 Rb
0.411 0.750 0.089 Rb
0.589 0.250 0.911 Rb
0.089 0.411 0.750 Rb
0.750 0.089 0.411 Rb
0.911 0.589 0.250 Rb
0.612 0.888 0.750 F
0.571 0.417 0.245 F
0.250 0.388 0.112 F
0.083 0.929 0.255 F
0.417 0.245 0.571 F
0.745 0.917 0.071 F
0.112 0.250 0.388 F
0.388 0.112 0.250 F
0.917 0.071 0.745 F
0.071 0.745 0.917 F
0.245 0.571 0.417 F
0.750 0.612 0.888 F
0.888 0.750 0.612 F
0.755 0.429 0.583 F
0.255 0.083 0.929 F
0.429 0.583 0.755 F
0.583 0.755 0.429 F
0.929 0.255 0.083 F
0.645 0.645 0.645 Sc
0.355 0.355 0.355 Sc
0.145 0.145 0.145 Sc
0.855 0.855 0.855 Sc

=====

12.
TlIrRh2 | the Alexandria database | PBE | optimized geometry; energy of formation = 0.39 eV/atom; density of states at the Fermi level = 2.01 states/eV/atom; raw total energy = -6.09 eV/atom; space group = No. 225
1.0
0.000 3.199 3.199
3.199 0.000 3.199
3.199 3.199 0.000
Ir Rh Tl
1 2 1
direct
0.000 0.000 0.000 Ir
0.250 0.250 0.250 Rh
0.750 0.750 0.750 Rh
0.500 0.500 0.500 Tl